Pr2NdTm5Sc: relaxed, PBE.

Lattice parameters (Å, degrees): 10.1919 10.1919 10.4543 90.00 90.00 148.26
With the nearest neighbours (Å) after each atom.
Positions (direct):
Pr: 0.1124 0.8876 0.5000  9 Tm 3.24-3.59, 1 Sc 3.56
Pr: 0.1152 0.8848 0.9183  1 Sc 3.36, 7 Tm 3.41-3.62, 2 Nd 3.70
Pr: 0.8848 0.1152 0.4183  1 Sc 3.36, 7 Tm 3.41-3.62, 2 Nd 3.70
Pr: 0.8876 0.1124 0.0000  9 Tm 3.24-3.59, 1 Sc 3.56
Nd: 0.4143 0.5857 0.6443  5 Tm 3.04-3.21
Nd: 0.5857 0.4143 0.1443  5 Tm 3.04-3.21
Tm: 0.0171 0.9829 0.2070  2 Nd 3.16, 2 Pr 3.34-3.41
Tm: 0.2774 0.7226 0.5082  1 Nd 3.04, 1 Pr 3.24, 2 Tm 3.38
Tm: 0.2970 0.7030 0.8897  4 Tm 3.38-3.65, 3 Sc 3.42-3.78, 1 Nd 3.44, 3 Pr 3.50-3.58
Tm: 0.3766 0.6234 0.2039  1 Sc 3.50, 4 Pr 3.52-3.58, 6 Tm 3.58-3.92
Tm: 0.4822 0.5178 0.9240  2 Nd 3.07-3.21
Tm: 0.5178 0.4822 0.4240  2 Nd 3.07-3.21
Tm: 0.6234 0.3766 0.7039  1 Sc 3.50, 4 Pr 3.52-3.58, 6 Tm 3.58-3.92
Tm: 0.7030 0.2970 0.3897  4 Tm 3.38-3.65, 3 Sc 3.42-3.78, 1 Nd 3.44, 3 Pr 3.50-3.58
Tm: 0.7226 0.2774 0.0082  1 Nd 3.04, 1 Pr 3.24, 2 Tm 3.38
Tm: 0.9829 0.0171 0.7070  2 Nd 3.16, 2 Pr 3.34-3.41
Sc: 0.1981 0.8019 0.1997  2 Pr 3.36-3.56, 7 Tm 3.42-3.58, 2 Nd 3.60
Sc: 0.8019 0.1981 0.6997  2 Pr 3.36-3.56, 7 Tm 3.42-3.58, 2 Nd 3.60

Computed properties:
Formation energy from the elements = 160 meV per atom

Pr2Nd3Y6Sc: relaxed, PBE.

Lattice parameters (Å, degrees): 6.2308 6.2308 11.8874 95.00 95.00 120.00
With the nearest neighbours (Å) after each atom.
Positions (direct):
Pr: 0.1662 0.8338 0.0000  6 Y 3.57, 3 Pr 3.59-3.60, 3 Sc 3.59-3.60
Pr: 0.8338 0.1662 0.0000  6 Y 3.57, 3 Pr 3.59-3.60, 3 Sc 3.59-3.60
Nd: 0.0000 0.0000 0.5000  6 Nd 3.60, 6 Y 3.61
Nd: 0.3332 0.6668 0.5000  6 Nd 3.60, 6 Y 3.60-3.62
Nd: 0.6668 0.3332 0.5000  6 Nd 3.60, 6 Y 3.60-3.62
Y: 0.0879 0.4181 0.7525  1 Sc 3.55, 6 Y 3.56-3.61, 2 Pr 3.57, 3 Nd 3.60-3.62
Y: 0.2520 0.2520 0.2481  1 Sc 3.56, 6 Y 3.56-3.61, 2 Pr 3.57, 3 Nd 3.60-3.61
Y: 0.4181 0.0879 0.7525  1 Sc 3.55, 6 Y 3.56-3.61, 2 Pr 3.57, 3 Nd 3.60-3.62
Y: 0.5819 0.9121 0.2475  1 Sc 3.55, 6 Y 3.56-3.61, 2 Pr 3.57, 3 Nd 3.60-3.62
Y: 0.7480 0.7480 0.7519  1 Sc 3.56, 6 Y 3.56-3.61, 2 Pr 3.57, 3 Nd 3.60-3.61
Y: 0.9121 0.5819 0.2475  1 Sc 3.55, 6 Y 3.56-3.61, 2 Pr 3.57, 3 Nd 3.60-3.62
Sc: 0.5000 0.5000 0.0000  6 Y 3.55-3.56, 6 Pr 3.59-3.60

Computed properties:
Formation energy from the elements = 23 meV per atom

Pr2Nd6Y3Sc: relaxed, PBE.

Lattice parameters (Å, degrees): 6.2880 6.2880 11.9623 95.03 95.03 120.00
With the nearest neighbours (Å) after each atom.
Positions (direct):
Pr: 0.1669 0.8331 0.0000  6 Nd 3.62-3.63, 3 Pr 3.63-3.64, 3 Sc 3.63
Pr: 0.8331 0.1669 0.0000  6 Nd 3.62-3.63, 3 Pr 3.63-3.64, 3 Sc 3.63
Nd: 0.0882 0.4172 0.7497  6 Nd 3.58-3.65, 1 Sc 3.60, 3 Y 3.60-3.63, 2 Pr 3.62-3.63
Nd: 0.2534 0.2534 0.2507  6 Nd 3.59-3.65, 3 Y 3.60-3.62, 1 Sc 3.61, 2 Pr 3.63
Nd: 0.4172 0.0882 0.7497  6 Nd 3.58-3.65, 1 Sc 3.60, 3 Y 3.60-3.63, 2 Pr 3.62-3.63
Nd: 0.5828 0.9118 0.2503  6 Nd 3.58-3.65, 1 Sc 3.60, 3 Y 3.60-3.63, 2 Pr 3.62-3.63
Nd: 0.7466 0.7466 0.7493  6 Nd 3.59-3.65, 3 Y 3.60-3.62, 1 Sc 3.61, 2 Pr 3.63
Nd: 0.9118 0.5828 0.2503  6 Nd 3.58-3.65, 1 Sc 3.60, 3 Y 3.60-3.63, 2 Pr 3.62-3.63
Y: 0.0000 0.0000 0.5000  6 Nd 3.60-3.62, 6 Y 3.63-3.64
Y: 0.3338 0.6662 0.5000  6 Nd 3.60-3.63, 6 Y 3.62-3.64
Y: 0.6662 0.3338 0.5000  6 Nd 3.60-3.63, 6 Y 3.62-3.64
Sc: 0.5000 0.5000 0.0000  6 Nd 3.60-3.61, 6 Pr 3.63

Computed properties:
Formation energy from the elements = 24 meV per atom

PrNdY2Sc: relaxed, PBE.

Lattice parameters (Å, degrees): 7.9196 5.0597 7.9771 90.00 90.22 90.00
With the nearest neighbours (Å) after each atom.
Positions (direct):
Pr: 0.2434 0.2500 0.2405  3 Sc 3.46-3.50, 6 Y 3.52-3.64, 3 Nd 3.63-3.65
Pr: 0.7566 0.7500 0.7595  3 Sc 3.46-3.50, 6 Y 3.52-3.64, 3 Nd 3.63-3.65
Nd: 0.4451 0.2500 0.6523  1 Sc 3.53, 6 Y 3.56-3.61, 2 Nd 3.62, 3 Pr 3.63-3.65
Nd: 0.5549 0.7500 0.3477  1 Sc 3.53, 6 Y 3.56-3.61, 2 Nd 3.62, 3 Pr 3.63-3.65
Y: 0.1465 0.7500 0.5466  3 Y 3.51-3.54, 3 Sc 3.52-3.60, 3 Pr 3.53-3.60, 3 Nd 3.56-3.61
Y: 0.3387 0.7500 0.9481  3 Sc 3.46-3.51, 3 Pr 3.52-3.64, 3 Y 3.54-3.69, 3 Nd 3.56-3.61
Y: 0.6613 0.2500 0.0519  3 Sc 3.46-3.51, 3 Pr 3.52-3.64, 3 Y 3.54-3.69, 3 Nd 3.56-3.61
Y: 0.8535 0.2500 0.4534  3 Y 3.51-3.54, 3 Sc 3.52-3.60, 3 Pr 3.53-3.60, 3 Nd 3.56-3.61
Sc: 0.0476 0.2500 0.8515  6 Y 3.46-3.60, 3 Pr 3.46-3.50, 1 Nd 3.53, 2 Sc 3.55
Sc: 0.9524 0.7500 0.1485  6 Y 3.46-3.60, 3 Pr 3.46-3.50, 1 Nd 3.53, 2 Sc 3.55

Computed properties:
Formation energy from the elements = 48 meV per atom

Pr5Nd2YSc: relaxed, PBE.

Lattice parameters (Å, degrees): 10.5443 10.5443 10.5443 132.40 132.40 69.59
With the nearest neighbours (Å) after each atom.
Positions (direct):
Pr: 0.0000 0.0000 0.0000  4 Nd 3.36
Pr: 0.0730 0.5730 0.9371  1 Nd 3.14, 1 Sc 3.19
Pr: 0.1359 0.0730 0.5000  1 Nd 3.14, 1 Sc 3.19
Pr: 0.3641 0.8641 0.9371  1 Nd 3.14, 1 Sc 3.19
Pr: 0.4270 0.3641 0.5000  1 Nd 3.14, 1 Sc 3.19
Pr: 0.5000 0.5000 0.0000  4 Nd 3.36
Pr: 0.5730 0.6359 0.5000  1 Nd 3.14, 1 Sc 3.19
Pr: 0.6359 0.1359 0.0629  1 Nd 3.14, 1 Sc 3.19
Pr: 0.8641 0.9270 0.5000  1 Nd 3.14, 1 Sc 3.19
Pr: 0.9270 0.4270 0.0629  1 Nd 3.14, 1 Sc 3.19
Nd: 0.1253 0.3747 0.5000  1 Nd 3.02, 4 Pr 3.14-3.36
Nd: 0.3747 0.8747 0.2494  1 Nd 3.02, 4 Pr 3.14-3.36
Nd: 0.6253 0.1253 0.7506  1 Nd 3.02, 4 Pr 3.14-3.36
Nd: 0.8747 0.6253 0.5000  1 Nd 3.02, 4 Pr 3.14-3.36
Y: 0.2500 0.2500 0.0000  8 Pr 3.53
Y: 0.7500 0.7500 0.0000  8 Pr 3.53
Sc: 0.2500 0.7500 0.5000  4 Pr 3.19
Sc: 0.7500 0.2500 0.5000  4 Pr 3.19

Computed properties:
Formation energy from the elements = 276 meV per atom

PrNd2Y5Sc: relaxed, PBE.

Lattice parameters (Å, degrees): 10.3723 10.3723 10.5006 90.00 90.00 148.46
With the nearest neighbours (Å) after each atom.
Positions (direct):
Pr: 0.0875 0.9125 0.5000  5 Y 3.05-3.29
Pr: 0.9125 0.0875 0.0000  5 Y 3.05-3.29
Nd: 0.3847 0.6153 0.7800  1 Sc 3.35, 7 Y 3.47-3.72, 2 Pr 3.69
Nd: 0.3881 0.6119 0.3605  8 Y 3.24-3.57, 1 Sc 3.54
Nd: 0.6119 0.3881 0.8605  8 Y 3.24-3.57, 1 Sc 3.54
Nd: 0.6153 0.3847 0.2800  1 Sc 3.35, 7 Y 3.47-3.72, 2 Pr 3.69
Y: 0.0188 0.9812 0.7847  2 Pr 3.10-3.29, 2 Nd 3.47
Y: 0.1295 0.8705 0.0658  1 Sc 3.53, 4 Nd 3.57-3.62, 4 Y 3.65-3.79
Y: 0.2041 0.7959 0.7483  4 Y 3.42-3.72, 2 Sc 3.44, 1 Pr 3.49, 3 Nd 3.57-3.62
Y: 0.2261 0.7739 0.3767  1 Pr 3.05, 1 Nd 3.24
Y: 0.4834 0.5166 0.0646  2 Pr 3.23, 3 Nd 3.34-3.58, 1 Sc 3.54
Y: 0.5166 0.4834 0.5646  2 Pr 3.23, 3 Nd 3.34-3.58, 1 Sc 3.54
Y: 0.7739 0.2261 0.8767  1 Pr 3.05, 1 Nd 3.24
Y: 0.7959 0.2041 0.2483  4 Y 3.42-3.72, 2 Sc 3.44, 1 Pr 3.49, 3 Nd 3.57-3.62
Y: 0.8705 0.1295 0.5658  1 Sc 3.53, 4 Nd 3.57-3.62, 4 Y 3.65-3.79
Y: 0.9812 0.0188 0.2847  2 Pr 3.10-3.29, 2 Nd 3.47
Sc: 0.3062 0.6938 0.0618  2 Nd 3.35-3.54, 7 Y 3.44-3.67, 2 Pr 3.59
Sc: 0.6938 0.3062 0.5618  2 Nd 3.35-3.54, 7 Y 3.44-3.67, 2 Pr 3.59

Computed properties:
Formation energy from the elements = 156 meV per atom

Pr3Nd2Y6Sc: relaxed, PBE.

Lattice parameters (Å, degrees): 6.2390 6.2390 11.8908 95.01 95.01 120.00
With the nearest neighbours (Å) after each atom.
Positions (direct):
Pr: 0.0000 0.0000 0.0000  6 Pr 3.60, 6 Y 3.62-3.63
Pr: 0.3332 0.6668 0.0000  6 Pr 3.60, 6 Y 3.62-3.64
Pr: 0.6668 0.3332 0.0000  6 Pr 3.60, 6 Y 3.62-3.64
Nd: 0.1662 0.8338 0.5000  6 Y 3.56, 3 Nd 3.59-3.61, 3 Sc 3.60-3.61
Nd: 0.8338 0.1662 0.5000  6 Y 3.56, 3 Nd 3.59-3.61, 3 Sc 3.60-3.61
Y: 0.0882 0.4186 0.2539  1 Sc 3.54, 2 Nd 3.56, 6 Y 3.57-3.62, 3 Pr 3.62-3.64
Y: 0.2513 0.2513 0.7466  1 Sc 3.55, 2 Nd 3.56, 6 Y 3.57-3.62, 3 Pr 3.62-3.63
Y: 0.4186 0.0882 0.2539  1 Sc 3.54, 2 Nd 3.56, 6 Y 3.57-3.62, 3 Pr 3.62-3.64
Y: 0.5814 0.9118 0.7461  1 Sc 3.54, 2 Nd 3.56, 6 Y 3.57-3.62, 3 Pr 3.62-3.64
Y: 0.7487 0.7487 0.2534  1 Sc 3.55, 2 Nd 3.56, 6 Y 3.57-3.62, 3 Pr 3.62-3.63
Y: 0.9118 0.5814 0.7461  1 Sc 3.54, 2 Nd 3.56, 6 Y 3.57-3.62, 3 Pr 3.62-3.64
Sc: 0.5000 0.5000 0.5000  6 Y 3.54-3.55, 6 Nd 3.60-3.61

Computed properties:
Formation energy from the elements = 24 meV per atom

PrNd2Y6Sc3: relaxed, PBE.

Lattice parameters (Å, degrees): 6.1372 6.1372 11.6032 95.05 95.05 120.01
With the nearest neighbours (Å) after each atom.
Positions (direct):
Pr: 0.0000 0.0000 0.0000  6 Nd 3.54, 6 Y 3.63
Nd: 0.3334 0.6666 0.0000  3 Nd 3.54, 3 Pr 3.54, 6 Y 3.63
Nd: 0.6666 0.3334 0.0000  3 Nd 3.54, 3 Pr 3.54, 6 Y 3.63
Y: 0.0878 0.4213 0.2625  3 Sc 3.40, 6 Y 3.54, 2 Nd 3.63, 1 Pr 3.63
Y: 0.2456 0.2456 0.7374  3 Sc 3.40, 6 Y 3.54, 1 Pr 3.63, 2 Nd 3.63
Y: 0.4213 0.0878 0.2625  3 Sc 3.40, 6 Y 3.54, 2 Nd 3.63, 1 Pr 3.63
Y: 0.5787 0.9122 0.7375  3 Sc 3.40, 6 Y 3.54, 2 Nd 3.63, 1 Pr 3.63
Y: 0.7544 0.7544 0.2626  3 Sc 3.40, 6 Y 3.54, 1 Pr 3.63, 2 Nd 3.63
Y: 0.9122 0.5787 0.7375  3 Sc 3.40, 6 Y 3.54, 2 Nd 3.63, 1 Pr 3.63
Sc: 0.1669 0.8331 0.5000  6 Y 3.40, 6 Sc 3.54-3.55
Sc: 0.5000 0.5000 0.5000  6 Y 3.40, 6 Sc 3.54
Sc: 0.8331 0.1669 0.5000  6 Y 3.40, 6 Sc 3.54-3.55

Computed properties:
Formation energy from the elements = 53 meV per atom

PrNd5Y2Sc: relaxed, PBE.

Lattice parameters (Å, degrees): 11.3841 11.3841 10.2963 90.00 90.00 152.50
With the nearest neighbours (Å) after each atom.
Positions (direct):
Pr: 0.1009 0.8991 0.5000  6 Nd 3.30-3.53
Pr: 0.8991 0.1009 0.0000  6 Nd 3.30-3.53
Nd: 0.9999 0.0001 0.2501  2 Pr 3.41, 6 Nd 3.73-3.78, 4 Y 3.74-3.75
Nd: 0.0001 0.9999 0.7501  2 Pr 3.41, 6 Nd 3.73-3.78, 4 Y 3.74-3.75
Nd: 0.1250 0.8750 0.9998  1 Sc 3.48, 4 Y 3.73-3.74, 6 Nd 3.77-3.87
Nd: 0.2214 0.7786 0.3115  2 Nd 3.25, 1 Pr 3.30, 3 Sc 3.33-3.49, 3 Y 3.62
Nd: 0.2220 0.7780 0.6867  2 Nd 3.25, 1 Pr 3.30, 3 Sc 3.33-3.48, 3 Y 3.62-3.63
Nd: 0.4980 0.5020 0.4999  2 Pr 3.53, 4 Y 3.61-3.69, 6 Nd 3.73-3.84
Nd: 0.5020 0.4980 0.9999  2 Pr 3.53, 4 Y 3.61-3.69, 6 Nd 3.73-3.84
Nd: 0.7780 0.2220 0.1867  2 Nd 3.25, 1 Pr 3.30, 3 Sc 3.33-3.48, 3 Y 3.62-3.63
Nd: 0.7786 0.2214 0.8115  2 Nd 3.25, 1 Pr 3.30, 3 Sc 3.33-3.49, 3 Y 3.62
Nd: 0.8750 0.1250 0.4998  1 Sc 3.48, 4 Y 3.73-3.74, 6 Nd 3.77-3.87
Y: 0.3827 0.6173 0.2504  1 Sc 3.41, 9 Nd 3.62-3.75, 2 Pr 3.75
Y: 0.3833 0.6167 0.7496  1 Sc 3.40, 9 Nd 3.61-3.74, 2 Pr 3.75
Y: 0.6167 0.3833 0.2496  1 Sc 3.40, 9 Nd 3.61-3.74, 2 Pr 3.75
Y: 0.6173 0.3827 0.7504  1 Sc 3.41, 9 Nd 3.62-3.75, 2 Pr 3.75
Sc: 0.2825 0.7175 0.9992  7 Nd 3.33-3.49, 2 Y 3.40-3.41
Sc: 0.7175 0.2825 0.4992  7 Nd 3.33-3.49, 2 Y 3.40-3.41

Computed properties:
Formation energy from the elements = 126 meV per atom

Pr2NdYSc: relaxed, PBE.

Lattice parameters (Å, degrees): 8.6247 8.6247 6.5577 90.00 90.00 135.38
With the nearest neighbours (Å) after each atom.
Positions (direct):
Pr: 0.2477 0.2477 0.0000  4 Pr 3.24-3.30, 2 Sc 3.37, 2 Nd 3.49
Pr: 0.2477 0.2477 0.5000  4 Pr 3.24-3.30, 2 Sc 3.37, 2 Nd 3.49
Pr: 0.7523 0.7523 0.0000  4 Pr 3.24-3.30, 2 Sc 3.37, 2 Nd 3.49
Pr: 0.7523 0.7523 0.5000  4 Pr 3.24-3.30, 2 Sc 3.37, 2 Nd 3.49
Nd: 0.3372 0.6628 0.7500  1 Sc 2.93
Nd: 0.6628 0.3372 0.2500  1 Sc 2.93
Y: 0.2469 0.7531 0.2500  4 Nd 3.54-3.58, 4 Sc 3.60-3.64
Y: 0.7531 0.2469 0.7500  4 Nd 3.54-3.58, 4 Sc 3.60-3.64
Sc: 0.1536 0.8464 0.7500  1 Nd 2.93
Sc: 0.8464 0.1536 0.2500  1 Nd 2.93

Computed properties:
Formation energy from the elements = 357 meV per atom

PrNdYSc: relaxed, PBE.

Lattice parameters (Å, degrees): 6.7841 6.7841 3.8329 106.32 106.32 50.12
With the nearest neighbours (Å) after each atom.
Positions (direct):
Pr: 0.0000 0.0000 0.0000  2 Sc 3.31-3.33, 4 Y 3.48-3.49, 1 Nd 3.71
Nd: 0.2740 0.2740 0.7829  4 Sc 3.44-3.47, 2 Y 3.64-3.66, 2 Pr 3.71-3.75, 2 Nd 3.83
Y: 0.5399 0.5399 0.5411  2 Sc 3.27-3.29, 4 Pr 3.48-3.49, 2 Nd 3.64-3.66
Sc: 0.7680 0.7680 0.2717  2 Y 3.27-3.29, 2 Pr 3.31-3.33, 4 Nd 3.44-3.47

Computed properties:
Formation energy from the elements = 96 meV per atom

Pr2NdY6Sc3: relaxed, PBE.

Lattice parameters (Å, degrees): 6.1430 6.1430 11.6100 95.06 95.06 120.01
With the nearest neighbours (Å) after each atom.
Positions (direct):
Pr: 0.1667 0.8333 0.0000  3 Pr 3.55, 3 Nd 3.55, 6 Y 3.63-3.64
Pr: 0.8333 0.1667 0.0000  3 Pr 3.55, 3 Nd 3.55, 6 Y 3.63-3.64
Nd: 0.5000 0.5000 0.0000  6 Pr 3.55, 6 Y 3.63-3.64
Y: 0.0790 0.4122 0.7371  3 Sc 3.40, 6 Y 3.54-3.55, 2 Pr 3.63-3.64, 1 Nd 3.64
Y: 0.2548 0.2548 0.2629  3 Sc 3.40, 6 Y 3.54-3.55, 1 Nd 3.63, 2 Pr 3.64
Y: 0.4122 0.0790 0.7371  3 Sc 3.40, 6 Y 3.54-3.55, 2 Pr 3.63-3.64, 1 Nd 3.64
Y: 0.5878 0.9210 0.2629  3 Sc 3.40, 6 Y 3.54-3.55, 2 Pr 3.63-3.64, 1 Nd 3.64
Y: 0.7452 0.7452 0.7371  3 Sc 3.40, 6 Y 3.54-3.55, 1 Nd 3.63, 2 Pr 3.64
Y: 0.9210 0.5878 0.2629  3 Sc 3.40, 6 Y 3.54-3.55, 2 Pr 3.63-3.64, 1 Nd 3.64
Sc: 0.0000 0.0000 0.5000  6 Y 3.40, 6 Sc 3.55
Sc: 0.3333 0.6667 0.5000  6 Y 3.40, 6 Sc 3.55
Sc: 0.6667 0.3333 0.5000  6 Y 3.40, 6 Sc 3.55

Computed properties:
Formation energy from the elements = 54 meV per atom

Number 1: DFT total energy -83.15 eV for the cell shown. Number 2: DFT total energy -68.70 eV for the cell shown. Number 3: DFT total energy -63.61 eV for the cell shown. Number 4: DFT total energy -57.13 eV for the cell shown. Number 5: DFT total energy -87.49 eV for the cell shown. Number 6: DFT total energy -103.13 eV for the cell shown. Number 7: DFT total energy -68.70 eV for the cell shown. Number 8: DFT total energy -71.46 eV for the cell shown. Number 9: DFT total energy -93.49 eV for the cell shown. Number 10: DFT total energy -50.68 eV for the cell shown. Number 11: DFT total energy -21.96 eV for the cell shown. Number 12: DFT total energy -71.46 eV for the cell shown.